[1]
## InTeAsSe2 (GGA-PBEsol)

Data for crystalline InTeAsSe2 at its relaxed geometry.

Geometry as POSCAR:
```
InTeAsSe2
1.0
-0.760 -2.806 -4.201
4.410 1.702 -1.935
2.504 -3.981 2.206
Te In Se As
1 1 2 1
Cartesian
3.077 -2.542 -1.965
0.000 0.000 0.000
-0.380 -1.403 -2.100
2.205 0.851 -0.968
1.252 -1.990 1.103
```

For the magnetization, the calculation gives 0.00 μB per atom. The raw formation energy is 3.07 eV per formula unit. As for the calculated density: 5.8 g/cm³. Its space-group type is No. 123.


[2]
## InAsWSe2 (GGA-PBEsol)

Data for crystalline InAsWSe2 at its relaxed geometry.

Geometry as POSCAR:
```
InAsWSe2
1.0
5.007 0.000 0.000
0.000 5.056 0.000
0.000 0.000 5.056
In As Se W
1 1 2 1
Cartesian
0.000 0.000 0.000
2.503 0.000 0.000
0.000 2.528 0.000
0.000 0.000 2.528
2.503 2.528 2.528
```

For the magnetization, the calculation gives 0.54 μB per atom. The raw formation energy is 8.06 eV per formula unit. As for the calculated density: 6.9 g/cm³. Its space-group type is No. 123.


Please write out number 2 again, unchanged.
## InAsWSe2 (GGA-PBEsol)

Data for crystalline InAsWSe2 at its relaxed geometry.

Geometry as POSCAR:
```
InAsWSe2
1.0
5.007 0.000 0.000
0.000 5.056 0.000
0.000 0.000 5.056
In As Se W
1 1 2 1
Cartesian
0.000 0.000 0.000
2.503 0.000 0.000
0.000 2.528 0.000
0.000 0.000 2.528
2.503 2.528 2.528
```

For the magnetization, the calculation gives 0.54 μB per atom. The raw formation energy is 8.06 eV per formula unit. As for the calculated density: 6.9 g/cm³. Its space-group type is No. 123.


Question: The highest raw formation energy belongs to which entry?
Answer: InAsWSe2